A relaxed Mo5Ir2Rh4 crystal. Source: Alexandria, functional PBE.

The value obtained for the energy of formation from the pure elements is -3 meV/atom. Its crystal system is orthorhombic. As for the total magnetization: 0.0 μB/f.u. For the density, the calculation gives 12.5 g/cm³. The calculation puts the total DFT energy (no corrections) at -9.2107 eV/atom.

It has space group Pbam (No. 55), with a = 6.0649 Å, b = 14.4079 Å, c = 3.8851 Å, α = 90.00°, β = 90.00° and γ = 90.00°. The distinct sites, in fractional coordinates, are Mo at (0.0000, 0.0000, 0.0000), Mo at (0.0976, 0.4124, 0.0000), Mo at (0.2064, 0.1850, 0.0000), Ir at (0.0059, 0.2916, 0.5000), Rh at (0.1045, 0.8790, 0.5000) and Rh at (0.1988, 0.5472, 0.5000).